Material: U4TcIr
Method: DFT, GGA-PBE
State: relaxed

**Calculated density**: 19.13 Mg/m³
**Energy of formation**: -194 meV per atom
**D(E_F)**: 11.7 states/eV/cell

Unit cell a=4.735 b=5.475 c=5.475 alpha=61.56 beta=115.62 gamma=115.62
Positions (direct):
U 0.333 0.584 0.082
U 0.667 0.416 0.918
U 0.666 0.917 0.415
U 0.334 0.083 0.585
Ir 0.000 0.000 0.000
Tc 0.000 0.500 0.500